Arrangement one

Below is Tc5Hg after structural relaxation, with properties calculated at the PBE level.

a b c (Å): 2.809 2.809 13.668
angles (deg): 90.00 90.00 120.00
Positions (direct):
Tc 0.000 0.000 0.000
Tc 0.000 0.000 0.314
Tc 0.000 0.000 0.686
Tc 0.333 0.667 0.162
Tc 0.333 0.667 0.838
Hg 0.333 0.667 0.500

Summary:
Density of states at the Fermi level ... 7.12 states/eV per cell
ρ ... 12.3 g/cm3
M_tot ... 0.00 μB per cell


Arrangement two

Below is Tc5Hg after structural relaxation, with properties calculated at the PBE level.

a b c (Å): 4.450 2.815 14.793
angles (deg): 90.00 90.00 90.00
Positions (direct):
Tc 0.000 0.000 0.000
Tc 0.000 0.000 0.313
Tc 0.000 0.000 0.657
Tc 0.000 0.500 0.157
Tc 0.000 0.500 0.500
Tc 0.000 0.500 0.813
Tc 0.500 0.000 0.103
Tc 0.500 0.000 0.757
Tc 0.500 0.500 0.257
Tc 0.500 0.500 0.603
Hg 0.500 0.000 0.430
Hg 0.500 0.500 0.930

Summary:
Density of states at the Fermi level ... 10.70 states/eV per cell
ρ ... 12.4 g/cm3
M_tot ... 0.00 μB per cell


Which of them is least stable? Easy: arrangement two.


Arrangement one

Below is Tc5Hg after structural relaxation, with properties calculated at the PBE level.

a b c (Å): 5.323 5.323 5.323
angles (deg): 54.07 54.07 54.07
Positions (direct):
Tc 0.000 0.327 0.673
Tc 0.162 0.162 0.162
Tc 0.327 0.673 0.000
Tc 0.673 0.000 0.327
Tc 0.838 0.838 0.838
Hg 0.500 0.500 0.500

Summary:
Density of states at the Fermi level ... 6.46 states/eV per cell
ρ ... 12.5 g/cm3
M_tot ... 0.00 μB per cell


Arrangement two

Below is Tc5Hg after structural relaxation, with properties calculated at the PBE level.

a b c (Å): 5.142 5.142 5.142
angles (deg): 60.00 60.00 60.00
Positions (direct):
Tc 0.000 0.000 0.000
Tc 0.376 0.376 0.376
Tc 0.376 0.376 0.873
Tc 0.376 0.873 0.376
Tc 0.873 0.376 0.376
Hg 0.750 0.750 0.750

Summary:
Density of states at the Fermi level ... 6.36 states/eV per cell
ρ ... 11.9 g/cm3
M_tot ... 0.00 μB per cell


Arrangement three

Below is Tc5Hg after structural relaxation, with properties calculated at the PBE level.

a b c (Å): 10.194 2.848 6.599
angles (deg): 90.00 104.97 90.00
Positions (direct):
Tc 0.000 0.000 0.000
Tc 0.045 0.000 0.618
Tc 0.227 0.500 0.935
Tc 0.343 0.000 0.690
Tc 0.391 0.000 0.266
Tc 0.500 0.500 0.000
Tc 0.545 0.500 0.618
Tc 0.727 0.000 0.935
Tc 0.843 0.500 0.690
Tc 0.891 0.500 0.266
Hg 0.173 0.500 0.345
Hg 0.673 0.000 0.345

Summary:
Density of states at the Fermi level ... 14.03 states/eV per cell
ρ ... 12.4 g/cm3
M_tot ... 0.00 μB per cell


Which of them is least stable? Easy: arrangement two.


Arrangement one

Below is Tc5Hg3 after structural relaxation, with properties calculated at the PBE level.

a b c (Å): 8.068 8.391 3.921
angles (deg): 90.00 90.00 90.00
Positions (direct):
Tc 0.000 0.000 0.000
Tc 0.000 0.234 0.500
Tc 0.000 0.766 0.500
Tc 0.250 0.250 0.000
Tc 0.250 0.750 0.000
Tc 0.500 0.266 0.500
Tc 0.500 0.500 0.000
Tc 0.500 0.734 0.500
Tc 0.750 0.250 0.000
Tc 0.750 0.750 0.000
Hg 0.000 0.500 0.000
Hg 0.247 0.000 0.500
Hg 0.253 0.500 0.500
Hg 0.500 0.000 0.000
Hg 0.747 0.500 0.500
Hg 0.753 0.000 0.500

Summary:
Density of states at the Fermi level ... 24.36 states/eV per cell
ρ ... 13.7 g/cm3
M_tot ... 0.02 μB per cell


Arrangement two

Below is Tc5Hg3 after structural relaxation, with properties calculated at the PBE level.

a b c (Å): 8.494 8.494 4.657
angles (deg): 90.00 90.00 120.00
Positions (direct):
Tc 0.000 0.173 0.250
Tc 0.000 0.827 0.750
Tc 0.173 0.000 0.250
Tc 0.173 0.173 0.750
Tc 0.333 0.667 0.000
Tc 0.333 0.667 0.500
Tc 0.667 0.333 0.000
Tc 0.667 0.333 0.500
Tc 0.827 0.000 0.750
Tc 0.827 0.827 0.250
Hg 0.000 0.386 0.750
Hg 0.000 0.614 0.250
Hg 0.386 0.000 0.750
Hg 0.386 0.386 0.250
Hg 0.614 0.000 0.250
Hg 0.614 0.614 0.750

Summary:
Density of states at the Fermi level ... 18.29 states/eV per cell
ρ ... 12.5 g/cm3
M_tot ... 0.02 μB per cell


Which of them is least stable? Easy: arrangement two.


Arrangement one

Below is ThTcHg after structural relaxation, with properties calculated at the PBE level.

a b c (Å): 4.097 17.306 4.155
angles (deg): 90.00 90.00 90.00
Positions (direct):
Th 0.000 0.099 0.250
Th 0.000 0.901 0.750
Th 0.500 0.401 0.750
Th 0.500 0.599 0.250
Tc 0.000 0.463 0.250
Tc 0.000 0.537 0.750
Tc 0.500 0.037 0.750
Tc 0.500 0.963 0.250
Hg 0.000 0.294 0.250
Hg 0.000 0.706 0.750
Hg 0.500 0.206 0.750
Hg 0.500 0.794 0.250

Summary:
Density of states at the Fermi level ... 10.21 states/eV per cell
ρ ... 12.0 g/cm3
M_tot ... 0.00 μB per cell


Arrangement two

Below is ThTcHg after structural relaxation, with properties calculated at the PBE level.

a b c (Å): 8.523 8.523 8.523
angles (deg): 32.43 32.43 32.43
Positions (direct):
Th 0.083 0.083 0.083
Th 0.917 0.917 0.917
Tc 0.181 0.181 0.181
Tc 0.819 0.819 0.819
Hg 0.320 0.320 0.320
Hg 0.680 0.680 0.680

Summary:
Density of states at the Fermi level ... 5.25 states/eV per cell
ρ ... 11.1 g/cm3
M_tot ... 0.00 μB per cell


Which of them is least stable? Easy: arrangement two.